RbNpMn2O8 | GGA+U | relaxed

Summary:
V (Å³/cell): 230.0
VASP energy (eV per atom): -7.3399
Space group: P-3m1

Cell: 5.7548 5.7548 8.0205 Å, 90.00 90.00 120.00°
Closest atoms and distances in Å follow each position.
Atoms (fractional coordinates):
1 Rb 0.0000 0.0000 0.0000  12 O 3.20-3.36
2 Np 0.0000 0.0000 0.5000  6 O 2.07
3 Mn 0.3333 0.6667 0.2650  4 O 1.64-1.79
4 Mn 0.6667 0.3333 0.7350  4 O 1.64-1.79
5 O 0.1647 0.3294 0.3425  1 Mn 1.79
6 O 0.1647 0.8353 0.3425  1 Mn 1.79
7 O 0.3294 0.1647 0.6575  1 Mn 1.79
8 O 0.3333 0.6667 0.0608  1 Mn 1.64
9 O 0.6667 0.3333 0.9392  1 Mn 1.64
10 O 0.6706 0.8353 0.3425  1 Mn 1.79
11 O 0.8353 0.1647 0.6575  1 Mn 1.79
12 O 0.8353 0.6706 0.6575  1 Mn 1.79